# 1
RbS | PBE-GGA | optimized geometry

The structure belongs to space group P6_3/mmc (No. 194); the cell edges are 5.8165, 5.8165 and 6.7272 Å and the angles 90.00°, 90.00° and 120.00°. The distinct sites, in fractional coordinates, are Rb at (0.3333, 0.6667, 0.2500) and S at (0.3333, 0.6667, 0.7500).

The final energy is -2.822 eV/atom. As for the uncorrected formation energy: -0.27 eV per atom.

# 2
YTi2H | PBE-GGA | optimized geometry

The structure belongs to space group R-3m (No. 166, hexagonal axes); the cell edges are 3.0798, 3.0798 and 24.2837 Å and the angles 90.00°, 90.00° and 120.00°. The distinct sites, in fractional coordinates, are Y at (0.0000, 0.0000, 0.0000), Ti at (0.0000, 0.0000, 0.1211) and H at (0.0000, 0.0000, 0.5000).

The final energy is -6.235 eV/atom. The calculation puts the energy above the most stable polymorph in this dataset at 19.10 kJ/mol of atoms.

# 3
RuPbI | PBE-GGA | optimized geometry

The structure belongs to space group P1 (No. 1); the cell edges are 3.836, 6.655 and 7.278 Å and the angles 89.10°, 77.23° and 77.84°. The distinct sites, in fractional coordinates, are Ru at (0.000, 0.000, 0.000), Ru at (0.428, 0.234, 0.077), Pb at (0.086, 0.330, 0.766), Pb at (0.825, 0.184, 0.370), I at (0.112, 0.628, 0.209) and I at (0.674, 0.819, 0.764).

The final energy is -4.585 eV/atom. As for the uncorrected formation energy: 0.26 eV per atom. The calculation puts the energy above the most stable polymorph in this dataset at 5.29 kJ/mol of atoms.

# 4
PmHo2Ge | PBE-GGA | optimized geometry

The structure belongs to space group P4/mmm (No. 123); the cell edges are 4.700, 4.700 and 4.687 Å and the angles 90.00°, 90.00° and 90.00°. The distinct sites, in fractional coordinates, are Pm at (0.000, 0.000, 0.000), Ho at (0.000, 0.500, 0.500) and Ge at (0.500, 0.500, 0.000).

The final energy is -4.953 eV/atom. As for the formation energy: -0.32 eV/atom. The calculation puts the energy above the most stable polymorph in this dataset at 12.15 kJ/mol of atoms.

# 5
Th2GaPd3 | PBE-GGA | optimized geometry

The structure belongs to space group Imm2 (No. 44); the cell edges are 3.917, 4.018 and 17.073 Å and the angles 90.00°, 90.00° and 90.00°. The distinct sites, in fractional coordinates, are Th at (0.000, 0.000, 0.000), Th at (0.000, 0.500, 0.260), Ga at (0.000, 0.000, 0.593), Pd at (0.000, 0.000, 0.442), Pd at (0.000, 0.500, 0.677) and Pd at (0.000, 0.500, 0.833).

The final energy is -6.336 eV/atom. As for the formation energy: -0.76 eV/atom. The calculation puts the energy above the most stable polymorph in this dataset at 2.59 kJ/mol of atoms.

# 6
KTlSi2Se | PBE-GGA | optimized geometry

The structure belongs to space group P4/mmm (No. 123); the cell edges are 5.556, 5.556 and 6.007 Å and the angles 90.00°, 90.00° and 90.00°. The distinct sites, in fractional coordinates, are K at (0.000, 0.000, 0.000), Tl at (0.000, 0.000, 0.500), Si at (0.000, 0.500, 0.000) and Se at (0.500, 0.500, 0.500).

The final energy is -1.960 eV/atom. As for the uncorrected formation energy: 1.60 eV per atom.

# 7
Mn2HgTeBr | PBE-GGA | optimized geometry

The structure belongs to space group P4/mmm (No. 123); the cell edges are 5.387, 5.387 and 5.386 Å and the angles 90.00°, 90.00° and 90.00°. The distinct sites, in fractional coordinates, are Mn at (0.000, 0.500, 0.000), Hg at (0.000, 0.000, 0.000), Te at (0.000, 0.000, 0.500) and Br at (0.500, 0.500, 0.500).

The final energy is -3.912 eV/atom. As for the uncorrected formation energy: 0.78 eV per atom.

# 8
RbPSe2 | PBE-GGA | optimized geometry

The structure belongs to space group R-3m (No. 166, hexagonal axes); the cell edges are 3.8563, 3.8563 and 27.5493 Å and the angles 90.00°, 90.00° and 120.00°. The distinct sites, in fractional coordinates, are Rb at (0.0000, 0.0000, 0.0000), P at (0.0000, 0.0000, 0.5000) and Se at (0.0000, 0.0000, 0.1154).

The final energy is -3.428 eV/atom. As for the uncorrected formation energy: -0.09 eV per atom.